The following is a PBE-GGA calculation of a geometry-optimized ScCuP structure, from Alexandria.

Cell and atoms, written as POSCAR:
```
ScCuP
1.0
-2.603 2.545 -1.236
-0.469 -1.731 3.401
4.073 5.895 3.562
Sc Cu P
2 2 2
direct
0.667 0.333 0.210
0.333 0.667 0.710
0.667 0.333 0.885
0.333 0.667 0.385
0.000 0.000 0.960
0.000 0.000 0.460
```

Computed properties:
- Magnetic moment: 0.00 μB/cell
- V: 102 Å³/cell
- DFT formation energy: -0.58 eV/atom
- Total energy: -5.863 eV per atom

***

The following is a PBE-GGA calculation of a geometry-optimized ScCu2P structure, from Alexandria.

Cell and atoms, written as POSCAR:
```
ScCu2P
1.0
-3.662 -1.969 1.292
-3.866 1.789 -0.897
-2.628 -1.853 -2.935
Sc Cu P
1 2 1
direct
0.750 0.750 0.750
0.000 0.000 0.000
0.250 0.250 0.250
0.500 0.500 0.500
```

Computed properties:
- Magnetic moment: 0.00 μB/cell
- V: 58 Å³/cell
- DFT formation energy: -0.29 eV/atom
- Total energy: -5.275 eV per atom

***

The following is a PBE-GGA calculation of a geometry-optimized ScCu2P structure, from Alexandria.

Cell and atoms, written as POSCAR:
```
ScCu2P
1.0
-0.646 -0.257 -2.809
3.050 -1.821 -0.535
-2.755 -4.934 1.086
Sc Cu P
1 2 1
direct
0.500 0.500 0.732
0.000 0.000 0.056
0.500 0.500 0.226
0.000 0.000 0.486
```

Computed properties:
- Magnetic moment: 0.00 μB/cell
- V: 60 Å³/cell
- DFT formation energy: -0.25 eV/atom
- Total energy: -5.235 eV per atom

***

The following is a PBE-GGA calculation of a geometry-optimized ScCu2P structure, from Alexandria.

Cell and atoms, written as POSCAR:
```
ScCu2P
1.0
3.450 0.000 0.000
0.000 3.450 0.000
0.000 0.000 5.151
Sc Cu P
1 2 1
direct
0.500 0.500 0.500
0.000 0.000 0.763
0.000 0.000 0.237
0.500 0.500 0.000
```

Computed properties:
- Magnetic moment: 0.00 μB/cell
- V: 61 Å³/cell
- DFT formation energy: -0.24 eV/atom
- Total energy: -5.221 eV per atom